1.
VASP calculation (PBE-GGA) on a relaxed CuAs2I crystal.

Output
Distance to the lowest polymorph of the same formula   0.388 eV per atom
Formation energy from raw total energies   843 meV/atom
Magnetization   0.00 μB/cell
Electronic total energy   -2.894 eV per atom

a b c (Å): 6.950 6.950 6.950
angles (deg): 90.00 90.00 90.00
Space group Fm-3m (No. 225)
Inequivalent atoms, fractional coordinates:
Cu: 0.000 0.000 0.000 x4
As: 0.250 0.250 0.250 x8
I: 0.000 0.000 0.500 x4


2.
VASP calculation (PBE-GGA) on a relaxed Cu5AsI12 crystal.

Output
Formation energy from raw total energies   -98 meV/atom
Magnetization   0.00 μB/cell
Electronic total energy   -2.527 eV per atom

a b c (Å): 9.313 11.298 14.002
angles (deg): 90.00 104.93 90.00
Space group C2/m (No. 12)
Inequivalent atoms, fractional coordinates:
Cu: 0.000 0.000 0.000 x2
Cu: 0.000 0.169 0.500 x4
Cu: 0.000 0.334 0.000 x4
As: 0.000 0.500 0.500 x2
I: 0.033 0.500 0.879 x4
I: 0.040 0.164 0.881 x8
I: 0.081 0.316 0.646 x8
I: 0.202 0.000 0.536 x4


3.
VASP calculation (PBE-GGA) on a relaxed CuAs2I2 crystal.

Output
Distance to the lowest polymorph of the same formula   0.000 eV per atom
Formation energy from raw total energies   9 meV/atom
Magnetization   0.00 μB/cell
Electronic total energy   -3.290 eV per atom

a b c (Å): 6.617 3.819 11.232
angles (deg): 90.00 101.39 90.00
Space group C2/m (No. 12)
Inequivalent atoms, fractional coordinates:
Cu: 0.000 0.000 0.000 x2
As: 0.146 0.000 0.440 x4
I: 0.217 0.500 0.150 x4


4.
VASP calculation (PBE-GGA) on a relaxed CuAs2I2 crystal.

Output
Distance to the lowest polymorph of the same formula   0.352 eV per atom
Formation energy from raw total energies   361 meV/atom
Magnetization   0.00 μB/cell
Electronic total energy   -2.938 eV per atom

a b c (Å): 7.412 7.412 5.976
angles (deg): 90.00 90.00 90.00
Space group P4/mbm (No. 127)
Inequivalent atoms, fractional coordinates:
Cu: 0.000 0.000 0.000 x2
As: 0.109 0.391 0.500 x4
I: 0.174 0.326 0.000 x4


5.
VASP calculation (PBE-GGA) on a relaxed Cu3AsI crystal.

Output
Distance to the lowest polymorph of the same formula   0.795 eV per atom
Formation energy from raw total energies   1133 meV/atom
Magnetization   0.94 μB/cell
Electronic total energy   -2.564 eV per atom

a b c (Å): 4.902 4.902 4.902
angles (deg): 90.00 90.00 90.00
Space group Pm-3m (No. 221)
Inequivalent atoms, fractional coordinates:
Cu: 0.000 0.000 0.500 x3
As: 0.500 0.500 0.500 x1
I: 0.000 0.000 0.000 x1


6.
VASP calculation (PBE-GGA) on a relaxed CuAsI4 crystal.

Output
Distance to the lowest polymorph of the same formula   0.032 eV per atom
Formation energy from raw total energies   -53 meV/atom
Magnetization   0.00 μB/cell
Electronic total energy   -2.544 eV per atom

a b c (Å): 11.994 8.439 8.452
angles (deg): 90.00 90.03 90.00
Space group C2/c (No. 15)
Inequivalent atoms, fractional coordinates:
Cu: 0.000 0.098 0.250 x4
As: 0.250 0.250 0.500 x4
I: 0.015 0.270 0.506 x8
I: 0.213 0.010 0.248 x8


7.
VASP calculation (PBE-GGA) on a relaxed Cu2AsI crystal.

Output
Distance to the lowest polymorph of the same formula   0.027 eV per atom
Formation energy from raw total energies   137 meV/atom
Magnetization   0.00 μB/cell
Electronic total energy   -3.461 eV per atom

a b c (Å): 5.961 5.961 10.781
angles (deg): 90.00 90.00 90.00
Space group I-42d (No. 122)
Inequivalent atoms, fractional coordinates:
Cu: 0.206 0.250 0.125 x8
As: 0.000 0.000 0.000 x4
I: 0.000 0.000 0.500 x4


8.
VASP calculation (PBE-GGA) on a relaxed KCuAsI6 crystal.

Output
Formation energy from raw total energies   -386 meV/atom
Magnetization   0.81 μB/cell
Electronic total energy   -2.513 eV per atom

a b c (Å): 7.272 7.302 7.830
angles (deg): 93.20 101.20 111.45
Space group P1 (No. 1)
Inequivalent atoms, fractional coordinates:
K: 0.000 0.000 0.000 x1
Cu: 0.821 0.340 0.413 x1
As: 0.443 0.635 0.495 x1
I: 0.072 0.595 0.238 x1
I: 0.154 0.310 0.614 x1
I: 0.469 0.911 0.755 x1
I: 0.496 0.367 0.204 x1
I: 0.673 0.946 0.308 x1
I: 0.768 0.547 0.691 x1


9.
VASP calculation (PBE-GGA) on a relaxed La4CuAsI2 crystal.

Output
Formation energy from raw total energies   -976 meV/atom
Magnetization   0.00 μB/cell
Electronic total energy   -4.921 eV per atom

a b c (Å): 7.761 4.283 8.120
angles (deg): 90.00 107.21 90.00
Space group P2/m (No. 10)
Inequivalent atoms, fractional coordinates:
La: 0.226 0.000 0.203 x2
La: 0.268 0.500 0.792 x2
Cu: 0.000 0.500 0.000 x1
As: 0.500 0.000 0.000 x1
I: 0.000 0.000 0.500 x1
I: 0.500 0.500 0.500 x1


10.
VASP calculation (PBE-GGA) on a relaxed La8CuAs3I4 crystal.

Output
Formation energy from raw total energies   -1196 meV/atom
Magnetization   0.00 μB/cell
Electronic total energy   -5.175 eV per atom

a b c (Å): 15.265 8.814 9.250
angles (deg): 90.00 123.38 90.00
Space group C2/m (No. 12)
Inequivalent atoms, fractional coordinates:
La: 0.014 0.247 0.296 x8
La: 0.232 0.000 0.703 x4
La: 0.234 0.500 0.703 x4
Cu: 0.000 0.000 0.500 x2
As: 0.000 0.500 0.500 x2
As: 0.250 0.250 0.500 x4
I: 0.000 0.000 0.000 x2
I: 0.000 0.500 0.000 x2
I: 0.250 0.250 0.000 x4


11.
VASP calculation (PBE-GGA) on a relaxed La2CuAsI crystal.

Output
Formation energy from raw total energies   -549 meV/atom
Magnetization   0.00 μB/cell
Electronic total energy   -4.579 eV per atom

a b c (Å): 5.728 5.728 4.387
angles (deg): 90.00 90.00 90.00
Space group P4/mmm (No. 123)
Inequivalent atoms, fractional coordinates:
La: 0.000 0.500 0.000 x2
Cu: 0.000 0.000 0.000 x1
As: 0.000 0.000 0.500 x1
I: 0.500 0.500 0.500 x1


12.
VASP calculation (PBE-GGA) on a relaxed CuAsIN2 crystal.

Output
Distance to the lowest polymorph of the same formula   0.480 eV per atom
Formation energy from raw total energies   1705 meV/atom
Magnetization   3.57 μB/cell
Electronic total energy   -3.685 eV per atom

a b c (Å): 3.906 3.906 6.825
angles (deg): 90.00 90.00 90.00
Space group P4/mmm (No. 123)
Inequivalent atoms, fractional coordinates:
Cu: 0.000 0.000 0.000 x1
As: 0.500 0.500 0.500 x1
I: 0.000 0.000 0.500 x1
N: 0.000 0.500 0.000 x2


13.
VASP calculation (PBE-GGA) on a relaxed CuAsIN2 crystal.

Output
Distance to the lowest polymorph of the same formula   0.000 eV per atom
Formation energy from raw total energies   1224 meV/atom
Magnetization   0.67 μB/cell
Electronic total energy   -4.165 eV per atom

a b c (Å): 3.725 3.725 7.386
angles (deg): 90.00 90.00 90.00
Space group P4/mmm (No. 123)
Inequivalent atoms, fractional coordinates:
Cu: 0.000 0.000 0.000 x1
As: 0.500 0.500 0.500 x1
I: 0.500 0.500 0.000 x1
N: 0.000 0.500 0.500 x2


14.
VASP calculation (PBE-GGA) on a relaxed NaCuAs2I crystal.

Output
Formation energy from raw total energies   1121 meV/atom
Magnetization   1.33 μB/cell
Electronic total energy   -2.131 eV per atom

a b c (Å): 5.095 5.095 5.735
angles (deg): 90.00 90.00 90.00
Space group P4/mmm (No. 123)
Inequivalent atoms, fractional coordinates:
Na: 0.000 0.000 0.000 x1
Cu: 0.500 0.500 0.500 x1
As: 0.000 0.500 0.000 x2
I: 0.000 0.000 0.500 x1


15.
VASP calculation (PBE-GGA) on a relaxed Na2CuAsI crystal.

Output
Formation energy from raw total energies   291 meV/atom
Magnetization   1.74 μB/cell
Electronic total energy   -2.296 eV per atom

a b c (Å): 5.712 5.712 4.987
angles (deg): 90.00 90.00 90.00
Space group P4/mmm (No. 123)
Inequivalent atoms, fractional coordinates:
Na: 0.000 0.500 0.000 x2
Cu: 0.000 0.000 0.000 x1
As: 0.500 0.500 0.500 x1
I: 0.000 0.000 0.500 x1


16.
VASP calculation (PBE-GGA) on a relaxed Nb2CuAsI crystal.

Output
Formation energy from raw total energies   1943 meV/atom
Magnetization   0.00 μB/cell
Electronic total energy   -4.144 eV per atom

a b c (Å): 5.050 5.050 5.306
angles (deg): 90.00 90.00 90.00
Space group P4/mmm (No. 123)
Inequivalent atoms, fractional coordinates:
Nb: 0.000 0.500 0.000 x2
Cu: 0.000 0.000 0.500 x1
As: 0.500 0.500 0.500 x1
I: 0.500 0.500 0.000 x1


17.
VASP calculation (PBE-GGA) on a relaxed CuAsIO2 crystal.

Output
Distance to the lowest polymorph of the same formula   0.678 eV per atom
Formation energy from raw total energies   491 meV/atom
Magnetization   0.57 μB/cell
Electronic total energy   -3.552 eV per atom

a b c (Å): 4.005 4.005 5.115
angles (deg): 90.00 90.00 90.00
Space group P4/mmm (No. 123)
Inequivalent atoms, fractional coordinates:
Cu: 0.000 0.000 0.000 x1
As: 0.500 0.500 0.500 x1
I: 0.000 0.000 0.500 x1
O: 0.000 0.500 0.000 x2


18.
VASP calculation (PBE-GGA) on a relaxed Cu2AsIO crystal.

Output
Formation energy from raw total energies   202 meV/atom
Magnetization   0.00 μB/cell
Electronic total energy   -3.668 eV per atom

a b c (Å): 3.884 3.884 7.240
angles (deg): 90.00 90.00 90.00
Space group P4/mmm (No. 123)
Inequivalent atoms, fractional coordinates:
Cu: 0.000 0.500 0.000 x2
As: 0.000 0.000 0.500 x1
I: 0.500 0.500 0.500 x1
O: 0.000 0.000 0.000 x1


19.
VASP calculation (PBE-GGA) on a relaxed CuAsI2O crystal.

Output
Distance to the lowest polymorph of the same formula   0.000 eV per atom
Formation energy from raw total energies   120 meV/atom
Magnetization   0.00 μB/cell
Electronic total energy   -3.241 eV per atom

a b c (Å): 5.752 5.752 3.801
angles (deg): 90.00 90.00 90.00
Space group P4/mmm (No. 123)
Inequivalent atoms, fractional coordinates:
Cu: 0.000 0.000 0.000 x1
As: 0.500 0.500 0.500 x1
I: 0.000 0.500 0.500 x2
O: 0.500 0.500 0.000 x1


20.
VASP calculation (PBE-GGA) on a relaxed CuAsI2O crystal.

Output
Distance to the lowest polymorph of the same formula   0.190 eV per atom
Formation energy from raw total energies   309 meV/atom
Magnetization   0.88 μB/cell
Electronic total energy   -3.052 eV per atom

a b c (Å): 5.568 5.568 3.629
angles (deg): 90.00 90.00 90.00
Space group P4/mmm (No. 123)
Inequivalent atoms, fractional coordinates:
Cu: 0.000 0.000 0.000 x1
As: 0.500 0.500 0.500 x1
I: 0.000 0.500 0.000 x2
O: 0.000 0.000 0.500 x1